A plane-wave DFT calculation with PBE was carried out for a geometry-optimized MoRu3C structure.

Cell lengths 4.0356, 4.0356, 4.0356 Å; angles 90.00, 90.00, 90.00 degrees
With the nearest neighbours (Å) after each atom.
Sites, in units of the cell vectors:
1 Mo 0.0000 0.0000 0.0000  12 Ru 2.85
2 Ru 0.0000 0.5000 0.5000  2 C 2.02
3 Ru 0.5000 0.0000 0.5000  2 C 2.02
4 Ru 0.5000 0.5000 0.0000  2 C 2.02
5 C 0.5000 0.5000 0.5000  6 Ru 2.02

Values from the calculation:
ΔE to the lowest computed polymorph ... 0 meV/atom
Formation energy ... 1.44 eV per formula unit

A plane-wave DFT calculation with PBE was carried out for a geometry-optimized MoRuC3 structure.

Cell lengths 4.0022, 4.0022, 4.0022 Å; angles 90.00, 90.00, 90.00 degrees
With the nearest neighbours (Å) after each atom.
Sites, in units of the cell vectors:
1 Mo 0.0000 0.0000 0.0000  6 C 2.00
2 Ru 0.5000 0.5000 0.5000  12 C 2.83
3 C 0.0000 0.0000 0.5000  2 Mo 2.00
4 C 0.0000 0.5000 0.0000  2 Mo 2.00
5 C 0.5000 0.0000 0.0000  2 Mo 2.00

Values from the calculation:
ΔE to the lowest computed polymorph ... 7 meV/atom
Formation energy ... 11.72 eV per formula unit

A plane-wave DFT calculation with PBE was carried out for a geometry-optimized ZrMoRu2C structure.

Cell lengths 4.1175, 4.1175, 4.2136 Å; angles 90.00, 90.00, 90.00 degrees
With the nearest neighbours (Å) after each atom.
Sites, in units of the cell vectors:
1 Zr 0.0000 0.0000 0.0000  4 Mo 2.91, 8 Ru 2.95
2 Mo 0.5000 0.5000 0.0000  2 C 2.11
3 Ru 0.0000 0.5000 0.5000  2 C 2.06
4 Ru 0.5000 0.0000 0.5000  2 C 2.06
5 C 0.5000 0.5000 0.5000  4 Ru 2.06, 2 Mo 2.11

Values from the calculation:
Formation energy ... -0.96 eV per formula unit

A plane-wave DFT calculation with PBE was carried out for a geometry-optimized ZrMo2RuC structure.

Cell lengths 4.8270, 4.8270, 4.6789 Å; angles 90.00, 90.00, 90.00 degrees
With the nearest neighbours (Å) after each atom.
Sites, in units of the cell vectors:
1 Zr 0.0000 0.0000 0.0000  2 Ru 2.34, 4 Mo 2.41
2 Mo 0.0000 0.5000 0.0000  2 Zr 2.41
3 Mo 0.5000 0.0000 0.0000  2 Zr 2.41
4 Ru 0.0000 0.0000 0.5000  2 Zr 2.34
5 C 0.5000 0.5000 0.5000  8 Mo 3.36, 4 Ru 3.41

Values from the calculation:
Formation energy ... 16.46 eV per formula unit

A plane-wave DFT calculation with PBE was carried out for a geometry-optimized MoCS2 structure.

Cell lengths 6.5931, 6.5931, 6.5931 Å; angles 28.70, 28.70, 28.70 degrees
With the nearest neighbours (Å) after each atom.
Sites, in units of the cell vectors:
1 Mo 0.0000 0.0000 0.0000  6 S 2.45
2 C 0.5000 0.5000 0.5000  2 S 1.59
3 S 0.4161 0.4161 0.4161  1 C 1.59
4 S 0.5839 0.5839 0.5839  1 C 1.59

Values from the calculation:
Uncorrected formation energy ... 0.540 eV per atom

A plane-wave DFT calculation with PBE was carried out for a geometry-optimized Mo2CS structure.

Cell lengths 6.0102, 6.0102, 6.0102 Å; angles 129.11, 129.11, 74.83 degrees
With the nearest neighbours (Å) after each atom.
Sites, in units of the cell vectors:
1 Mo 0.0749 0.6250 0.9499  2 C 2.04
2 Mo 0.3750 0.3249 0.4499  2 C 2.04
3 Mo 0.6751 0.1250 0.0501  2 C 2.04
4 Mo 0.8750 0.9251 0.5501  2 C 2.04
5 C 0.0000 0.0000 0.0000  4 Mo 2.04
6 C 0.7500 0.2500 0.5000  4 Mo 2.04
7 S 0.2500 0.7500 0.5000  4 Mo 2.34
8 S 0.5000 0.5000 0.0000  4 Mo 2.34

Values from the calculation:
ΔE to the lowest computed polymorph ... 0 meV/atom
Uncorrected formation energy ... 0.305 eV per atom

A plane-wave DFT calculation with PBE was carried out for a geometry-optimized MoC3S structure.

Cell lengths 3.6174, 3.6174, 3.6174 Å; angles 90.00, 90.00, 90.00 degrees
With the nearest neighbours (Å) after each atom.
Sites, in units of the cell vectors:
1 Mo 0.0000 0.0000 0.0000  12 C 2.56
2 C 0.0000 0.5000 0.5000  2 S 1.81
3 C 0.5000 0.0000 0.5000  2 S 1.81
4 C 0.5000 0.5000 0.0000  2 S 1.81
5 S 0.5000 0.5000 0.5000  6 C 1.81

Values from the calculation:
ΔE to the lowest computed polymorph ... 0 meV/atom
Uncorrected formation energy ... 2.394 eV per atom

A plane-wave DFT calculation with PBE was carried out for a geometry-optimized Mo2CS structure.

Cell lengths 4.0642, 4.0642, 4.0642 Å; angles 60.00, 60.00, 60.00 degrees
With the nearest neighbours (Å) after each atom.
Sites, in units of the cell vectors:
1 Mo 0.2500 0.2500 0.2500  4 S 2.49, 4 C 2.49
2 Mo 0.7500 0.7500 0.7500  4 S 2.49, 4 C 2.49
3 C 0.0000 0.0000 0.0000  8 Mo 2.49
4 S 0.5000 0.5000 0.5000  8 Mo 2.49

Values from the calculation:
ΔE to the lowest computed polymorph ... 153 meV/atom
Uncorrected formation energy ... 0.457 eV per atom

A plane-wave DFT calculation with PBE was carried out for a geometry-optimized MoC3S structure.

Cell lengths 4.1422, 4.1422, 4.1422 Å; angles 90.00, 90.00, 90.00 degrees
With the nearest neighbours (Å) after each atom.
Sites, in units of the cell vectors:
1 Mo 0.0000 0.0000 0.0000  6 C 2.07
2 C 0.0000 0.0000 0.5000  2 Mo 2.07
3 C 0.0000 0.5000 0.0000  2 Mo 2.07
4 C 0.5000 0.0000 0.0000  2 Mo 2.07
5 S 0.5000 0.5000 0.5000  12 C 2.93

Values from the calculation:
ΔE to the lowest computed polymorph ... 11 meV/atom
Uncorrected formation energy ... 2.405 eV per atom

A plane-wave DFT calculation with PBE was carried out for a geometry-optimized MoCS3 structure.

Cell lengths 4.0273, 4.0273, 4.0273 Å; angles 90.00, 90.00, 90.00 degrees
With the nearest neighbours (Å) after each atom.
Sites, in units of the cell vectors:
1 Mo 0.0000 0.0000 0.0000  12 S 2.85
2 C 0.5000 0.5000 0.5000  6 S 2.01
3 S 0.0000 0.5000 0.5000  2 C 2.01
4 S 0.5000 0.0000 0.5000  2 C 2.01
5 S 0.5000 0.5000 0.0000  2 C 2.01

Values from the calculation:
ΔE to the lowest computed polymorph ... 0 meV/atom
Uncorrected formation energy ... 1.166 eV per atom

A plane-wave DFT calculation with PBE was carried out for a geometry-optimized MoCS2 structure.

Cell lengths 5.8144, 5.8144, 5.8144 Å; angles 128.81, 128.81, 75.31 degrees
With the nearest neighbours (Å) after each atom.
Sites, in units of the cell vectors:
1 Mo 0.0000 0.0000 0.0000  4 S 2.31
2 Mo 0.7500 0.2500 0.5000  4 S 2.31
3 C 0.2500 0.7500 0.5000  4 S 1.95
4 C 0.5000 0.5000 0.0000  4 S 1.95
5 S 0.1845 0.6250 0.0595  2 C 1.95
6 S 0.3750 0.4345 0.5595  2 C 1.95
7 S 0.5655 0.1250 0.9405  2 C 1.95
8 S 0.8750 0.8155 0.4405  2 C 1.95

Values from the calculation:
Uncorrected formation energy ... 0.874 eV per atom

A plane-wave DFT calculation with PBE was carried out for a geometry-optimized MoC2S structure.

Cell lengths 5.1972, 5.1972, 5.1972 Å; angles 125.96, 125.96, 79.95 degrees
With the nearest neighbours (Å) after each atom.
Sites, in units of the cell vectors:
1 Mo 0.0000 0.0000 0.0000  4 C 2.12
2 Mo 0.7500 0.2500 0.5000  4 C 2.12
3 C 0.1823 0.6250 0.0573  2 S 1.79
4 C 0.3750 0.4323 0.5573  2 S 1.79
5 C 0.5677 0.1250 0.9427  2 S 1.79
6 C 0.8750 0.8177 0.4427  2 S 1.79
7 S 0.2500 0.7500 0.5000  4 C 1.79
8 S 0.5000 0.5000 0.0000  4 C 1.79

Values from the calculation:
Uncorrected formation energy ... 1.180 eV per atom

D(E_F) values, unit states/eV/f.u., following the record order: 8.5; 5.0; 4.5; 7.6; 1.1; 2.7; 4.1; 2.4; 4.4; 2.3; 1.2; 1.4.